No. 1
Computed, not measured: a geometry-optimized Pr4HoTm2Mg structure at the GGA-PBE level of DFT.

Computed properties:
Spin magnetization, μB per atom: 0.00
Formation enthalpy at 0 K, meV per atom: 38
Raw total energy, eV/atom: -4.24
D(E_F), states/eV/cell: 9.90

Unit cell a=5.780 b=5.783 c=9.695 alpha=53.37 beta=90.00 gamma=90.00
Element x y z (fractional)
Pr: 0.000 0.759 0.741
Pr: 0.000 0.241 0.259
Pr: 0.500 0.740 0.260
Pr: 0.500 0.260 0.740
Ho: 0.500 0.500 0.000
Tm: 0.000 0.000 0.000
Tm: 0.500 0.000 0.500
Mg: 0.000 0.500 0.500



No. 2
Computed, not measured: a geometry-optimized Cs2Ca2IrO6 structure at the GGA-PBE level of DFT.

Computed properties:
Spin magnetization, μB per atom: 0.27
ΔE_f (raw), meV/atom: -1733
Raw total energy, eV/atom: -5.76
D(E_F), states/eV/cell: 0.02

Unit cell a=5.854 b=5.854 c=7.141 alpha=98.01 beta=98.01 gamma=118.95
Element x y z (fractional)
Cs: 0.831 0.169 0.000
Cs: 0.169 0.831 0.000
Ca: 0.336 0.664 0.500
Ca: 0.664 0.336 0.500
Ir: 0.000 0.000 0.500
O: 0.773 0.773 0.660
O: 0.050 0.336 0.658
O: 0.227 0.227 0.340
O: 0.336 0.050 0.658
O: 0.950 0.664 0.342
O: 0.664 0.950 0.342



No. 3
Computed, not measured: a geometry-optimized LuThMn2 structure at the GGA-PBE level of DFT.

Computed properties:
Spin magnetization, μB per atom: 1.34
Formation enthalpy at 0 K, meV per atom: 163
Raw total energy, eV/atom: -7.41
D(E_F), states/eV/cell: 5.82

Unit cell a=3.537 b=4.916 c=4.916 alpha=90.00 beta=90.00 gamma=90.00
Element x y z (fractional)
Mn: 0.000 0.000 0.500
Mn: 0.000 0.500 0.000
Lu: 0.500 0.000 0.000
Th: 0.500 0.500 0.500



No. 4
Computed, not measured: a geometry-optimized BaSiI2 structure at the GGA-PBE level of DFT.

Computed properties:
Spin magnetization, μB per atom: 0.50
ΔE_f (raw), meV/atom: -374
Excess energy over the best structure of this formula in the dataset, meV per atom: 0
Raw total energy, eV/atom: -2.99
D(E_F), states/eV/cell: 3.10

Unit cell a=5.930 b=5.930 c=5.930 alpha=60.00 beta=60.00 gamma=60.00
Element x y z (fractional)
I: 0.250 0.250 0.250
I: 0.750 0.750 0.750
Si: 0.000 0.000 0.000
Ba: 0.500 0.500 0.500



No. 5
Computed, not measured: a geometry-optimized Zn2InSeBr structure at the GGA-PBE level of DFT.

Computed properties:
Spin magnetization, μB per atom: 0.00
ΔE_f (raw), meV/atom: -64
Raw total energy, eV/atom: -2.15
D(E_F), states/eV/cell: 0.85

Unit cell a=5.071 b=6.628 c=5.071 alpha=90.00 beta=90.00 gamma=90.00
Element x y z (fractional)
Zn: 0.000 0.000 0.500
Zn: 0.500 0.000 0.000
Se: 0.000 0.000 0.000
Br: 0.500 0.500 0.500
In: 0.000 0.500 0.000



No. 6
Computed, not measured: a geometry-optimized BaLiNbN3 structure at the GGA-PBE level of DFT.

Computed properties:
Spin magnetization, μB per atom: 0.02
ΔE_f (raw), meV/atom: -678
Raw total energy, eV/atom: -7.16
D(E_F), states/eV/cell: 8.46

Unit cell a=5.694 b=5.830 c=6.186 alpha=61.89 beta=88.04 gamma=85.83
Element x y z (fractional)
Ba: 0.250 0.272 0.456
Ba: 0.750 0.728 0.544
Li: 0.250 0.569 0.862
Li: 0.750 0.431 0.138
Nb: 0.750 0.055 0.891
Nb: 0.250 0.945 0.109
N: 0.502 0.775 0.972
N: 0.998 0.253 0.972
N: 0.750 0.230 0.541
N: 0.498 0.225 0.028
N: 0.002 0.747 0.028
N: 0.250 0.770 0.459



No. 7
Computed, not measured: a geometry-optimized Zn6Cu3Au structure at the GGA-PBE level of DFT.

Computed properties:
Spin magnetization, μB per atom: 0.00
Formation enthalpy at 0 K, meV per atom: -26
Excess energy over the best structure of this formula in the dataset, meV per atom: 72
Raw total energy, eV/atom: -2.35
D(E_F), states/eV/cell: 6.72

Unit cell a=7.028 b=6.476 c=6.535 alpha=90.00 beta=99.66 gamma=90.00
Element x y z (fractional)
Zn: 0.673 0.192 0.921
Zn: 0.660 0.092 0.544
Zn: 0.792 0.366 0.292
Zn: 0.208 0.634 0.708
Zn: 0.340 0.908 0.456
Zn: 0.327 0.808 0.079
Zn: 0.173 0.308 0.421
Zn: 0.160 0.408 0.044
Zn: 0.292 0.134 0.792
Zn: 0.708 0.866 0.208
Zn: 0.840 0.592 0.956
Zn: 0.827 0.692 0.579
Cu: 0.554 0.826 0.803
Cu: 0.500 0.500 0.000
Cu: 0.446 0.174 0.197
Cu: 0.054 0.674 0.303
Cu: 0.000 0.000 0.500
Cu: 0.946 0.326 0.697
Au: 0.500 0.500 0.500
Au: 0.000 0.000 0.000



No. 8
Computed, not measured: a geometry-optimized Ta2PtRh2 structure at the GGA-PBE level of DFT.

Computed properties:
Spin magnetization, μB per atom: 0.00
Formation enthalpy at 0 K, meV per atom: -271
Excess energy over the best structure of this formula in the dataset, meV per atom: 273
Raw total energy, eV/atom: -9.16
D(E_F), states/eV/cell: 6.65

Unit cell a=7.593 b=7.593 c=2.922 alpha=90.00 beta=90.00 gamma=90.00
Element x y z (fractional)
Rh: 0.133 0.633 0.500
Rh: 0.633 0.867 0.500
Rh: 0.867 0.367 0.500
Rh: 0.367 0.133 0.500
Pt: 0.000 0.000 0.000
Pt: 0.500 0.500 0.000
Ta: 0.339 0.839 0.000
Ta: 0.839 0.661 0.000
Ta: 0.661 0.161 0.000
Ta: 0.161 0.339 0.000